[1]
Density functional theory data (GGA-PBEsol) for a geometry-optimized VAg3HgO4 structure.

Structure (CIF):
```
data_VAg3HgO4
_chemical_formula_sum 'V1 Ag3 Hg1 O4'
_cell_length_a 4.5561
_cell_length_b 5.8068
_cell_length_c 5.9364
_cell_angle_alpha 81.71
_cell_angle_beta 68.18
_cell_angle_gamma 67.34
_space_group_name_H-M_alt 'P 1'
_space_group_IT_number 1
loop_
_space_group_symop_operation_xyz
'x,y,z'
loop_
_atom_site_label
_atom_site_type_symbol
_atom_site_fract_x
_atom_site_fract_y
_atom_site_fract_z
_atom_site_occupancy
V1 V 0.0000 0.0000 0.0000 1
Ag1 Ag 0.1809 0.2476 0.4252 1
Ag2 Ag 0.3803 0.4049 0.7513 1
Ag3 Ag 0.8430 0.7320 0.6015 1
Hg1 Hg 0.5069 0.5861 0.2934 1
O1 O 0.0446 0.2581 0.0786 1
O2 O 0.3813 0.7470 0.9300 1
O3 O 0.7034 0.9223 0.2467 1
O4 O 0.8712 0.0724 0.7520 1
```

## Properties
- Final energy: -5.583 eV/atom
- Mass density: 7888 kg/m3
- Spin magnetization: 0.00 μB/f.u.

=====

[2]
Density functional theory data (GGA-PBEsol) for a geometry-optimized VAg2HgO4 structure.

Structure (CIF):
```
data_VAg2HgO4
_chemical_formula_sum 'V16 Ag32 Hg16 O64'
_cell_length_a 12.5356
_cell_length_b 12.5356
_cell_length_c 12.6558
_cell_angle_alpha 90.00
_cell_angle_beta 90.00
_cell_angle_gamma 90.00
_space_group_name_H-M_alt 'I -4 2 d'
_space_group_IT_number 122
_space_group_name_Hall 'I -4 2bw'
loop_
_atom_site_label
_atom_site_type_symbol
_atom_site_fract_x
_atom_site_fract_y
_atom_site_fract_z
_atom_site_occupancy
V1 V 0.1031 0.1382 0.2648 1
Ag1 Ag 0.0664 0.0963 0.9222 1
Ag2 Ag 0.1514 0.7143 0.9364 1
Hg1 Hg 0.0601 0.1914 0.5347 1
O1 O 0.0246 0.6289 0.0335 1
O2 O 0.0608 0.6915 0.4436 1
O3 O 0.0954 0.6018 0.6462 1
O4 O 0.1415 0.2308 0.9941 1
```

## Properties
- Final energy: -5.817 eV/atom
- Mass density: 7097 kg/m3
- Spin magnetization: 0.00 μB/f.u.

=====

[3]
Density functional theory data (GGA-PBEsol) for a geometry-optimized AgHgOs2 structure.

Structure (CIF):
```
data_AgHgOs2
_chemical_formula_sum 'Ag2 Hg2 Os4'
_cell_length_a 2.7681
_cell_length_b 4.7422
_cell_length_c 9.7735
_cell_angle_alpha 90.00
_cell_angle_beta 90.00
_cell_angle_gamma 90.00
_space_group_name_H-M_alt 'C m m m'
_space_group_IT_number 65
_space_group_name_Hall '-C 2 2'
loop_
_atom_site_label
_atom_site_type_symbol
_atom_site_fract_x
_atom_site_fract_y
_atom_site_fract_z
_atom_site_occupancy
Ag1 Ag 0.0000 0.0000 0.0000 1
Hg1 Hg 0.0000 0.0000 0.5000 1
Os1 Os 0.0000 0.5000 0.2449 1
```

## Properties
- Mass density: 17833 kg/m3
- ΔH_f (0 K): 889.5 meV/atom
- Spin magnetization: 0.00 μB/f.u.
- D(E_F): 9.8 states/eV/cell

=====

[4]
Density functional theory data (GGA-PBEsol) for a geometry-optimized AgHgOs structure.

Structure (CIF):
```
data_AgHgOs
_chemical_formula_sum 'Ag1 Hg1 Os1'
_cell_length_a 4.6711
_cell_length_b 4.6711
_cell_length_c 2.6621
_cell_angle_alpha 90.00
_cell_angle_beta 90.00
_cell_angle_gamma 120.00
_space_group_name_H-M_alt 'P 3 m 1'
_space_group_IT_number 156
loop_
_space_group_symop_operation_xyz
'x,y,z'
'-y,x-y,z'
'-x+y,-x,z'
'-y,-x,z'
'-x+y,y,z'
'x,x-y,z'
loop_
_atom_site_label
_atom_site_type_symbol
_atom_site_fract_x
_atom_site_fract_y
_atom_site_fract_z
_atom_site_occupancy
Ag1 Ag 0.0000 0.0000 0.0000 1
Hg1 Hg 0.6667 0.3333 0.2831 1
Os1 Os 0.3333 0.6667 0.6015 1
```

## Properties
- Mass density: 16463 kg/m3
- ΔH_f (0 K): 863.9 meV/atom
- Spin magnetization: 0.00 μB/f.u.
- D(E_F): 2.2 states/eV/cell

=====

[5]
Density functional theory data (GGA-PBEsol) for a geometry-optimized AgHgOs2 structure.

Structure (CIF):
```
data_AgHgOs2
_chemical_formula_sum 'Ag4 Hg4 Os8'
_cell_length_a 6.3379
_cell_length_b 6.3379
_cell_length_c 6.3379
_cell_angle_alpha 90.00
_cell_angle_beta 90.00
_cell_angle_gamma 90.00
_space_group_name_H-M_alt 'F -4 3 m'
_space_group_IT_number 216
_space_group_name_Hall 'F -4 2 3'
loop_
_atom_site_label
_atom_site_type_symbol
_atom_site_fract_x
_atom_site_fract_y
_atom_site_fract_z
_atom_site_occupancy
Ag1 Ag 0.0000 0.0000 0.0000 1
Hg1 Hg 0.2500 0.2500 0.2500 1
Os1 Os 0.0000 0.0000 0.5000 1
Os2 Os 0.2500 0.2500 0.7500 1
```

## Properties
- Mass density: 17974 kg/m3
- ΔH_f (0 K): 934.7 meV/atom
- Spin magnetization: 0.00 μB/f.u.
- D(E_F): 13.4 states/eV/cell

=====

[6]
Density functional theory data (GGA-PBEsol) for a geometry-optimized AgHgOs2 structure.

Structure (CIF):
```
data_AgHgOs2
_chemical_formula_sum 'Ag2 Hg2 Os4'
_cell_length_a 2.7923
_cell_length_b 4.7889
_cell_length_c 9.8822
_cell_angle_alpha 90.00
_cell_angle_beta 90.00
_cell_angle_gamma 90.00
_space_group_name_H-M_alt 'I m m 2'
_space_group_IT_number 44
loop_
_space_group_symop_operation_xyz
'x,y,z'
'-x,-y,z'
'-x,y,z'
'x,-y,z'
'x+1/2,y+1/2,z+1/2'
'-x+1/2,-y+1/2,z+1/2'
'-x+1/2,y+1/2,z+1/2'
'x+1/2,-y+1/2,z+1/2'
loop_
_atom_site_label
_atom_site_type_symbol
_atom_site_fract_x
_atom_site_fract_y
_atom_site_fract_z
_atom_site_occupancy
Ag1 Ag 0.0000 0.0000 0.0000 1
Hg1 Hg 0.0000 0.5000 0.2241 1
Os1 Os 0.0000 0.0000 0.4661 1
Os2 Os 0.0000 0.5000 0.7592 1
```

## Properties
- Mass density: 17314 kg/m3
- ΔH_f (0 K): 824.9 meV/atom
- Spin magnetization: 0.00 μB/f.u.
- D(E_F): 5.2 states/eV/cell

=====

[7]
Density functional theory data (GGA-PBEsol) for a geometry-optimized AgHgOs2 structure.

Structure (CIF):
```
data_AgHgOs2
_chemical_formula_sum 'Ag1 Hg1 Os2'
_cell_length_a 2.8004
_cell_length_b 4.6723
_cell_length_c 4.8859
_cell_angle_alpha 90.00
_cell_angle_beta 90.00
_cell_angle_gamma 90.00
_space_group_name_H-M_alt 'P m m m'
_space_group_IT_number 47
loop_
_space_group_symop_operation_xyz
'x,y,z'
'-x,-y,-z'
'-x,-y,z'
'x,y,-z'
'x,-y,-z'
'-x,y,z'
'-x,y,-z'
'x,-y,z'
loop_
_atom_site_label
_atom_site_type_symbol
_atom_site_fract_x
_atom_site_fract_y
_atom_site_fract_z
_atom_site_occupancy
Ag1 Ag 0.0000 0.0000 0.0000 1
Hg1 Hg 0.5000 0.5000 0.0000 1
Os1 Os 0.0000 0.5000 0.5000 1
Os2 Os 0.5000 0.0000 0.5000 1
```

## Properties
- Mass density: 17895 kg/m3
- ΔH_f (0 K): 840.0 meV/atom
- Spin magnetization: 0.00 μB/f.u.
- D(E_F): 4.5 states/eV/cell

=====

[8]
Density functional theory data (GGA-PBEsol) for a geometry-optimized AgHgOs2 structure.

Structure (CIF):
```
data_AgHgOs2
_chemical_formula_sum 'Ag2 Hg2 Os4'
_cell_length_a 3.7949
_cell_length_b 3.7949
_cell_length_c 8.8802
_cell_angle_alpha 90.00
_cell_angle_beta 90.00
_cell_angle_gamma 90.00
_space_group_name_H-M_alt 'I 4/m m m'
_space_group_IT_number 139
_space_group_name_Hall '-I 4 2'
loop_
_atom_site_label
_atom_site_type_symbol
_atom_site_fract_x
_atom_site_fract_y
_atom_site_fract_z
_atom_site_occupancy
Ag1 Ag 0.0000 0.0000 0.0000 1
Hg1 Hg 0.0000 0.0000 0.5000 1
Os1 Os 0.0000 0.5000 0.2500 1
```

## Properties
- Mass density: 17891 kg/m3
- ΔH_f (0 K): 1008.6 meV/atom
- Spin magnetization: 0.00 μB/f.u.
- D(E_F): 11.1 states/eV/cell

=====

[9]
Density functional theory data (GGA-PBEsol) for a geometry-optimized AgHgOs2 structure.

Structure (CIF):
```
data_AgHgOs2
_chemical_formula_sum 'Ag1 Hg1 Os2'
_cell_length_a 2.7125
_cell_length_b 4.3734
_cell_length_c 5.4907
_cell_angle_alpha 90.00
_cell_angle_beta 90.00
_cell_angle_gamma 90.00
_space_group_name_H-M_alt 'P m m m'
_space_group_IT_number 47
loop_
_space_group_symop_operation_xyz
'x,y,z'
'-x,-y,-z'
'-x,-y,z'
'x,y,-z'
'x,-y,-z'
'-x,y,z'
'-x,y,-z'
'x,-y,z'
loop_
_atom_site_label
_atom_site_type_symbol
_atom_site_fract_x
_atom_site_fract_y
_atom_site_fract_z
_atom_site_occupancy
Ag1 Ag 0.0000 0.0000 0.0000 1
Hg1 Hg 0.0000 0.0000 0.5000 1
Os1 Os 0.5000 0.5000 0.2194 1
```

## Properties
- Mass density: 17564 kg/m3
- ΔH_f (0 K): 997.1 meV/atom
- Spin magnetization: 0.00 μB/f.u.
- D(E_F): 4.5 states/eV/cell

=====

[10]
Density functional theory data (GGA-PBEsol) for a geometry-optimized Ag3HgP structure.

Structure (CIF):
```
data_Ag3HgP
_chemical_formula_sum 'Ag3 Hg1 P1'
_cell_length_a 5.0294
_cell_length_b 5.0294
_cell_length_c 5.0294
_cell_angle_alpha 90.00
_cell_angle_beta 90.00
_cell_angle_gamma 90.00
_space_group_name_H-M_alt 'P m -3 m'
_space_group_IT_number 221
_space_group_name_Hall '-P 4 2 3'
loop_
_atom_site_label
_atom_site_type_symbol
_atom_site_fract_x
_atom_site_fract_y
_atom_site_fract_z
_atom_site_occupancy
Ag1 Ag 0.0000 0.0000 0.5000 1
Hg1 Hg 0.0000 0.0000 0.0000 1
P1 P 0.5000 0.5000 0.5000 1
```

## Properties
- Mass density: 7246 kg/m3
- ΔH_f (0 K): 1160.3 meV/atom
- Spin magnetization: 0.00 μB/f.u.
- Distance to the lowest polymorph of the same formula: 4.80 eV/f.u.
- D(E_F): 2.4 states/eV/cell

=====

[11]
Density functional theory data (GGA-PBEsol) for a geometry-optimized Ag3HgP structure.

Structure (CIF):
```
data_Ag3HgP
_chemical_formula_sum 'Ag3 Hg1 P1'
_cell_length_a 4.7376
_cell_length_b 4.7376
_cell_length_c 4.7376
_cell_angle_alpha 90.00
_cell_angle_beta 90.00
_cell_angle_gamma 90.00
_space_group_name_H-M_alt 'P m -3 m'
_space_group_IT_number 221
_space_group_name_Hall '-P 4 2 3'
loop_
_atom_site_label
_atom_site_type_symbol
_atom_site_fract_x
_atom_site_fract_y
_atom_site_fract_z
_atom_site_occupancy
Ag1 Ag 0.0000 0.0000 0.5000 1
Hg1 Hg 0.5000 0.5000 0.5000 1
P1 P 0.0000 0.0000 0.0000 1
```

## Properties
- Mass density: 8669 kg/m3
- ΔH_f (0 K): 199.4 meV/atom
- Spin magnetization: 0.00 μB/f.u.
- Distance to the lowest polymorph of the same formula: 0.00 eV/f.u.
- D(E_F): 1.0 states/eV/cell

=====

[12]
Density functional theory data (GGA-PBEsol) for a geometry-optimized AgHgP structure.

Structure (CIF):
```
data_AgHgP
_chemical_formula_sum 'Ag2 Hg2 P2'
_cell_length_a 2.8490
_cell_length_b 2.8490
_cell_length_c 13.6154
_cell_angle_alpha 90.00
_cell_angle_beta 90.00
_cell_angle_gamma 90.00
_space_group_name_H-M_alt 'I 4 m m'
_space_group_IT_number 107
_space_group_name_Hall 'I 4 -2'
loop_
_atom_site_label
_atom_site_type_symbol
_atom_site_fract_x
_atom_site_fract_y
_atom_site_fract_z
_atom_site_occupancy
Ag1 Ag 0.0000 0.0000 0.0000 1
Hg1 Hg 0.0000 0.0000 0.6723 1
P1 P 0.0000 0.0000 0.3642 1
```

## Properties
- Mass density: 10200 kg/m3
- ΔH_f (0 K): 345.2 meV/atom
- Spin magnetization: 0.00 μB/f.u.
- D(E_F): 2.1 states/eV/cell

=====

[13]
Density functional theory data (GGA-PBEsol) for a geometry-optimized Ag2HgP4 structure.

Structure (CIF):
```
data_Ag2HgP4
_chemical_formula_sum 'Ag2 Hg1 P4'
_cell_length_a 5.3166
_cell_length_b 5.3166
_cell_length_c 4.7866
_cell_angle_alpha 90.00
_cell_angle_beta 90.00
_cell_angle_gamma 90.00
_space_group_name_H-M_alt 'P -4 2 m'
_space_group_IT_number 111
loop_
_space_group_symop_operation_xyz
'x,y,z'
'y,-x,-z'
'-x,-y,z'
'-y,x,-z'
'x,-y,-z'
'y,x,z'
'-x,y,-z'
'-y,-x,z'
loop_
_atom_site_label
_atom_site_type_symbol
_atom_site_fract_x
_atom_site_fract_y
_atom_site_fract_z
_atom_site_occupancy
Ag1 Ag 0.0000 0.5000 0.0000 1
Hg1 Hg 0.0000 0.0000 0.5000 1
P1 P 0.3511 0.3511 0.6902 1
```

## Properties
- Mass density: 6630 kg/m3
- ΔH_f (0 K): 313.4 meV/atom
- Spin magnetization: 0.00 μB/f.u.
- D(E_F): 2.2 states/eV/cell